# 1
A plane-wave DFT calculation with PBE was carried out for a relaxed NaAlC crystal.

```
NaAlC
1.0
12.3420 0.0000 0.0000
0.0000 3.1368 0.0000
-1.8599 0.0000 5.9319
Na Al C
4 4 4
direct
0.0000 0.0000 0.0000 Na
0.1977 0.5000 0.6373 Na
0.5000 0.5000 0.0000 Na
0.6977 0.0000 0.6373 Na
0.2764 0.0000 0.1380 Al
0.4587 0.5000 0.4711 Al
0.7764 0.5000 0.1380 Al
0.9587 0.0000 0.4711 Al
0.3275 0.0000 0.4690 C
0.3976 0.0000 0.6744 C
0.8275 0.5000 0.4690 C
0.8976 0.5000 0.6744 C
```

ρ in g/cm³: 1.79
Electronic total energy in eV/atom: -4.331
Crystal system: monoclinic
Magnetic moment in Bohr magnetons per cell: 0.0

# 2
A plane-wave DFT calculation with PBE was carried out for a relaxed NaAl2C crystal.

```
NaAl2C
1.0
6.3354 0.0000 0.0000
0.0000 6.3354 0.0000
0.0000 0.0000 7.9616
Na Al C
4 8 4
direct
0.0000 0.0000 0.0000 Na
0.0000 0.5000 0.2500 Na
0.5000 0.0000 0.7500 Na
0.5000 0.5000 0.5000 Na
0.0993 0.2500 0.6250 Al
0.2500 0.5993 0.8750 Al
0.2500 0.9007 0.3750 Al
0.4007 0.2500 0.1250 Al
0.5993 0.7500 0.1250 Al
0.7500 0.0993 0.3750 Al
0.7500 0.4007 0.8750 Al
0.9007 0.7500 0.6250 Al
0.0000 0.0000 0.5000 C
0.0000 0.5000 0.7500 C
0.5000 0.0000 0.2500 C
0.5000 0.5000 0.0000 C
```

ρ in g/cm³: 1.85
Electronic total energy in eV/atom: -3.999
Crystal system: tetragonal
Magnetic moment in Bohr magnetons per cell: 0.0

# 3
A plane-wave DFT calculation with PBE was carried out for a relaxed NaAlC crystal.

```
NaAlC
1.0
6.1064 0.0000 0.0000
0.0000 5.1097 0.0000
0.0000 0.0000 2.9654
Na Al C
2 2 2
direct
0.2500 0.0000 0.0889 Na
0.7500 0.0000 0.9111 Na
0.0000 0.5000 0.5000 Al
0.5000 0.5000 0.5000 Al
0.2500 0.5000 0.9260 C
0.7500 0.5000 0.0740 C
```

ρ in g/cm³: 2.22
Electronic total energy in eV/atom: -4.206
Crystal system: orthorhombic
Magnetic moment in Bohr magnetons per cell: 0.0

# 4
A plane-wave DFT calculation with PBE was carried out for a relaxed NaAlC crystal.

```
NaAlC
1.0
3.5245 0.0000 0.0000
0.0000 3.8000 0.0000
0.0000 0.0000 8.7426
Na Al C
2 2 2
direct
0.2500 0.2500 0.1919 Na
0.7500 0.7500 0.8081 Na
0.2500 0.2500 0.5285 Al
0.7500 0.7500 0.4715 Al
0.2500 0.7500 0.6029 C
0.7500 0.2500 0.3971 C
```

ρ in g/cm³: 1.76
Electronic total energy in eV/atom: -4.525
Crystal system: orthorhombic
Magnetic moment in Bohr magnetons per cell: 0.0

# 5
A plane-wave DFT calculation with PBE was carried out for a relaxed NaAlC crystal.

```
NaAlC
1.0
8.0544 0.0000 0.0000
0.0000 4.7793 0.0000
-3.1751 0.0000 6.5189
Na Al C
4 4 4
direct
0.0000 0.0000 0.0000 Na
0.1775 0.0000 0.6298 Na
0.5000 0.5000 0.0000 Na
0.6775 0.5000 0.6298 Na
0.2720 0.5000 0.2675 Al
0.4277 0.0000 0.2588 Al
0.7720 0.0000 0.2675 Al
0.9277 0.5000 0.2588 Al
0.1723 0.5000 0.5011 C
0.3475 0.5000 0.6135 C
0.6723 0.0000 0.5011 C
0.8475 0.0000 0.6135 C
```

ρ in g/cm³: 1.64
Electronic total energy in eV/atom: -4.443
Crystal system: monoclinic
Magnetic moment in Bohr magnetons per cell: 0.0

# 6
A plane-wave DFT calculation with PBE was carried out for a relaxed NaAlC crystal.

```
NaAlC
1.0
3.5375 0.0000 0.0000
0.0000 3.5375 0.0000
0.0000 0.0000 9.2045
Na Al C
2 2 2
direct
0.0000 0.0000 0.0000 Na
0.5000 0.5000 0.3241 Na
0.0000 0.0000 0.5601 Al
0.5000 0.5000 0.7083 Al
0.5000 0.5000 0.0575 C
0.5000 0.5000 0.9210 C
```

ρ in g/cm³: 1.79
Electronic total energy in eV/atom: -4.471
Crystal system: tetragonal
Magnetic moment in Bohr magnetons per cell: 0.0

# 7
A plane-wave DFT calculation with PBE was carried out for a relaxed NaAlC crystal.

```
NaAlC
1.0
3.4443 0.0000 0.0000
-1.7222 2.9829 0.0000
0.0000 0.0000 5.0540
Na Al C
1 1 1
direct
0.0000 0.0000 0.0000 Na
0.6667 0.3333 0.5000 Al
0.0000 0.0000 0.5000 C
```

ρ in g/cm³: 1.98
Electronic total energy in eV/atom: -4.469
Crystal system: hexagonal
Magnetic moment in Bohr magnetons per cell: 0.0

# 8
A plane-wave DFT calculation with PBE was carried out for a relaxed NaAlC crystal.

```
NaAlC
1.0
3.7309 0.0000 0.0000
0.0000 3.3523 0.0000
0.0000 0.0000 17.7771
Na Al C
4 4 4
direct
0.0000 0.0000 0.0000 Na
0.0000 0.5000 0.5000 Na
0.5000 0.0000 0.1594 Na
0.5000 0.5000 0.6594 Na
0.0000 0.0000 0.7956 Al
0.0000 0.5000 0.2956 Al
0.5000 0.0000 0.3704 Al
0.5000 0.5000 0.8704 Al
0.0000 0.0000 0.6136 C
0.0000 0.0000 0.6845 C
0.0000 0.5000 0.1136 C
0.0000 0.5000 0.1845 C
```

ρ in g/cm³: 1.85
Electronic total energy in eV/atom: -4.476
Crystal system: orthorhombic
Magnetic moment in Bohr magnetons per cell: 0.0

> What is the ρ in the second record?

1.85 g/cm³

> Which formula does entry 7 have?

NaAlC

> What is the magnetic moment in the eighth record?

0.0 Bohr magnetons per cell